4
Lattice="3.666 0.000 0.000 0.000 1.368 4.162 0.000 -1.368 4.162" Properties=species:S:1:pos:R:3 comment="Be2RuRh, optimized geometry, DFT PBEsol" formation_enthalpy_0k_ev_per_atom=-0.34 sg="Amm2, No. 38" total_magnetization_mub_per_atom=0.000 pbc="T T T"
Be 0.000 0.000 0.000
Be 1.833 0.000 1.317
Ru 1.833 0.000 3.607
Rh 0.000 0.000 6.028